# CsHfO3

An optimized crystal structure of CsHfO3 (PBE, the Alexandria database).

Values from the calculation:
- uncorrected formation energy (eV/atom) = -2.3519
- space-group type = Pm-3m
- electronic total energy (eV per atom) = -7.49

abc: 4.234 4.234 4.234
angles: 90.00 90.00 90.00
Each line ends with the local moment (μB).
Positions (direct):
Cs  0.500  0.500  0.500  0.04
Hf  0.000  0.000  0.000  -0.07
O  0.000  0.500  0.000  0.30
O  0.000  0.000  0.500  0.23
O  0.500  0.000  0.000  0.31

# HfSn2Sb2

An optimized crystal structure of HfSn2Sb2 (PBE, the Alexandria database).

Values from the calculation:
- uncorrected formation energy (eV/atom) = 0.0796
- space-group type = P4/mbm
- electronic total energy (eV per atom) = -5.16
- polymorph energy (0 for the lowest one) (meV/atom) = 0.0

abc: 7.678 7.678 4.642
angles: 90.00 90.00 90.00
Positions (direct):
Sb  0.346  0.846  0.000
Sb  0.846  0.654  0.000
Sb  0.654  0.154  0.000
Sb  0.154  0.346  0.000
Hf  0.000  0.000  0.000
Hf  0.500  0.500  0.000
Sn  0.159  0.659  0.500
Sn  0.659  0.841  0.500
Sn  0.841  0.341  0.500
Sn  0.341  0.159  0.500

DOS(E_F) (computed, states/eV/cell): 4.19; 3.75